No. 1
Crystalline Cr2SnSb at its relaxed geometry. Source: Alexandria, functional GGA-PBEsol. Values from VASP.

Cell and atoms, written as Quantum ESPRESSO input:
```
&SYSTEM
  ibrav = 0, nat = 4, ntyp = 3
/
ATOMIC_SPECIES
Cr 52.00 Cr.upf
Sn 118.71 Sn.upf
Sb 121.76 Sb.upf
ATOMIC_POSITIONS crystal
Cr 0.2500 0.2500 0.2500
Cr 0.7500 0.7500 0.7500
Sn 0.0000 0.0000 0.0000
Sb 0.5000 0.5000 0.5000
CELL_PARAMETERS angstrom
0.0000 3.1875 3.1875
3.1875 0.0000 3.1875
3.1875 3.1875 0.0000
```

Values from the calculation:
Spin magnetization in μB per atom: 0.73
Total energy in eV per atom: -6.874
Volume in A^3/atom: 16.19

---

No. 2
Crystalline NaCuCl2 at its relaxed geometry. Source: Alexandria, functional GGA-PBEsol. Values from VASP.

Cell and atoms, written as Quantum ESPRESSO input:
```
&SYSTEM
  ibrav = 0, nat = 4, ntyp = 3
/
ATOMIC_SPECIES
Na 22.99 Na.upf
Cu 63.55 Cu.upf
Cl 35.45 Cl.upf
ATOMIC_POSITIONS crystal
Na 0.0000 0.0000 0.0000
Cu 0.5000 0.5000 0.5000
Cl 0.4009 0.4009 0.4009
Cl 0.5991 0.5991 0.5991
CELL_PARAMETERS angstrom
2.0653 1.1924 6.9919
-2.0653 1.1924 6.9919
0.0000 -2.3848 6.9919
```

Values from the calculation:
Spin magnetization in μB per atom: 0.02
Total energy in eV per atom: -3.465
Volume in A^3/atom: 25.83

---

No. 3
Crystalline ScOs2Cl at its relaxed geometry. Source: Alexandria, functional GGA-PBEsol. Values from VASP.

Cell and atoms, written as Quantum ESPRESSO input:
```
&SYSTEM
  ibrav = 0, nat = 4, ntyp = 3
/
ATOMIC_SPECIES
Sc 44.96 Sc.upf
Os 190.23 Os.upf
Cl 35.45 Cl.upf
ATOMIC_POSITIONS crystal
Sc 0.0000 0.0000 0.0000
Os 0.2500 0.7500 0.5000
Os 0.7500 0.2500 0.5000
Cl 0.5000 0.5000 0.0000
CELL_PARAMETERS angstrom
-1.7640 1.7640 5.4141
1.7640 -1.7640 5.4141
1.7640 1.7640 -5.4141
```

Values from the calculation:
Spin magnetization in μB per atom: 0.00
Total energy in eV per atom: -8.031
Volume in A^3/atom: 16.85

---

No. 4
Crystalline Sr2HgPt at its relaxed geometry. Source: Alexandria, functional GGA-PBEsol. Values from VASP.

Cell and atoms, written as Quantum ESPRESSO input:
```
&SYSTEM
  ibrav = 0, nat = 4, ntyp = 3
/
ATOMIC_SPECIES
Sr 87.62 Sr.upf
Hg 200.59 Hg.upf
Pt 195.08 Pt.upf
ATOMIC_POSITIONS crystal
Sr 0.2367 0.2367 0.2367
Sr 0.7633 0.7633 0.7633
Hg 0.0000 0.0000 0.0000
Pt 0.5000 0.5000 0.5000
CELL_PARAMETERS angstrom
2.1340 1.2321 7.9099
-2.1340 1.2321 7.9099
0.0000 -2.4641 7.9099
```

Values from the calculation:
Formation enthalpy at 0 K in eV per atom: -0.5043
Spin magnetization in μB per atom: 0.00
Volume in A^3/atom: 31.20

---

No. 5
Crystalline TaOs at its relaxed geometry. Source: Alexandria, functional GGA-PBEsol. Values from VASP.

Cell and atoms, written as Quantum ESPRESSO input:
```
&SYSTEM
  ibrav = 0, nat = 4, ntyp = 2
/
ATOMIC_SPECIES
Ta 180.95 Ta.upf
Os 190.23 Os.upf
ATOMIC_POSITIONS crystal
Ta 0.1161 0.2500 0.3549
Ta 0.8839 0.7500 0.6451
Os 0.3634 0.7500 0.1522
Os 0.6366 0.2500 0.8478
CELL_PARAMETERS angstrom
2.8036 0.0000 0.0000
0.0000 4.4643 0.0000
-1.0642 0.0000 5.0531
```

Values from the calculation:
Formation enthalpy at 0 K in eV per atom: -0.0953
Spin magnetization in μB per atom: 0.00
Volume in A^3/atom: 15.81

---

No. 6
Crystalline BeNbSeBr2 at its relaxed geometry. Source: Alexandria, functional GGA-PBEsol. Values from VASP.

Cell and atoms, written as Quantum ESPRESSO input:
```
&SYSTEM
  ibrav = 0, nat = 5, ntyp = 4
/
ATOMIC_SPECIES
Be 9.01 Be.upf
Nb 92.91 Nb.upf
Se 78.96 Se.upf
Br 79.90 Br.upf
ATOMIC_POSITIONS crystal
Be 0.0000 0.0000 0.0000
Nb 0.5000 0.5000 0.5000
Se 0.5000 0.5000 0.0000
Br 0.0000 0.5000 0.5000
Br 0.5000 0.0000 0.5000
CELL_PARAMETERS angstrom
5.1293 0.0000 0.0000
0.0000 5.1293 0.0000
0.0000 0.0000 4.9699
```

Values from the calculation:
Spin magnetization in μB per atom: 0.00
Total energy in eV per atom: -4.206
Volume in A^3/atom: 26.15

---

No. 7
Crystalline ZrGa2Br at its relaxed geometry. Source: Alexandria, functional GGA-PBEsol. Values from VASP.

Cell and atoms, written as Quantum ESPRESSO input:
```
&SYSTEM
  ibrav = 0, nat = 4, ntyp = 3
/
ATOMIC_SPECIES
Zr 91.22 Zr.upf
Ga 69.72 Ga.upf
Br 79.90 Br.upf
ATOMIC_POSITIONS crystal
Zr 0.0000 0.0000 0.0000
Ga 0.2500 0.2500 0.2500
Ga 0.7500 0.7500 0.7500
Br 0.5000 0.5000 0.5000
CELL_PARAMETERS angstrom
0.0000 3.4596 3.4596
3.4596 0.0000 3.4596
3.4596 3.4596 0.0000
```

Values from the calculation:
Spin magnetization in μB per atom: 0.00
Total energy in eV per atom: -4.152
Volume in A^3/atom: 20.70

---

No. 8
Crystalline Cs2CoBr at its relaxed geometry. Source: Alexandria, functional GGA-PBEsol. Values from VASP.

Cell and atoms, written as Quantum ESPRESSO input:
```
&SYSTEM
  ibrav = 0, nat = 4, ntyp = 3
/
ATOMIC_SPECIES
Cs 132.91 Cs.upf
Co 58.93 Co.upf
Br 79.90 Br.upf
ATOMIC_POSITIONS crystal
Cs 0.2500 0.2500 0.2500
Cs 0.7500 0.7500 0.7500
Co 0.0000 0.0000 0.0000
Br 0.5000 0.5000 0.5000
CELL_PARAMETERS angstrom
0.0000 4.2791 4.2791
4.2791 0.0000 4.2791
4.2791 4.2791 0.0000
```

Values from the calculation:
Spin magnetization in μB per atom: 0.50
Total energy in eV per atom: -2.856
Volume in A^3/atom: 39.18

---

No. 9
Crystalline MnCo2Mo at its relaxed geometry. Source: Alexandria, functional GGA-PBEsol. Values from VASP.

Cell and atoms, written as Quantum ESPRESSO input:
```
&SYSTEM
  ibrav = 0, nat = 4, ntyp = 3
/
ATOMIC_SPECIES
Mn 54.94 Mn.upf
Co 58.93 Co.upf
Mo 95.94 Mo.upf
ATOMIC_POSITIONS crystal
Mn 0.0000 0.0000 0.0000
Co 0.5000 0.0000 0.4665
Co 0.5000 0.5000 0.1435
Mo 0.0000 0.5000 0.6488
CELL_PARAMETERS angstrom
2.5238 0.0000 0.0000
0.0000 4.0374 0.0000
0.0000 0.0000 4.4254
```

Values from the calculation:
Formation enthalpy at 0 K in eV per atom: 0.0177
Spin magnetization in μB per atom: 0.00
Volume in A^3/atom: 11.27

---

No. 10
Crystalline RbNb2BiS at its relaxed geometry. Source: Alexandria, functional GGA-PBEsol. Values from VASP.

Cell and atoms, written as Quantum ESPRESSO input:
```
&SYSTEM
  ibrav = 0, nat = 5, ntyp = 4
/
ATOMIC_SPECIES
Rb 85.47 Rb.upf
Nb 92.91 Nb.upf
Bi 208.98 Bi.upf
S 32.06 S.upf
ATOMIC_POSITIONS crystal
Rb 0.0000 0.0000 0.0000
Nb 0.0000 0.5000 0.0000
Nb 0.5000 0.0000 0.0000
Bi 0.5000 0.5000 0.5000
S 0.0000 0.0000 0.5000
CELL_PARAMETERS angstrom
4.9172 0.0000 0.0000
0.0000 4.9172 0.0000
0.0000 0.0000 5.2637
```

Values from the calculation:
Spin magnetization in μB per atom: 0.21
Total energy in eV per atom: -3.928
Volume in A^3/atom: 25.45

---

No. 11
Crystalline RbMo3Se3 at its relaxed geometry. Source: Alexandria, functional GGA-PBEsol. Values from VASP.

Cell and atoms, written as Quantum ESPRESSO input:
```
&SYSTEM
  ibrav = 0, nat = 14, ntyp = 3
/
ATOMIC_SPECIES
Rb 85.47 Rb.upf
Mo 95.94 Mo.upf
Se 78.96 Se.upf
ATOMIC_POSITIONS crystal
Rb 0.3333 0.6667 0.2500
Rb 0.6667 0.3333 0.7500
Mo 0.0274 0.1767 0.2500
Mo 0.1493 0.9726 0.2500
Mo 0.1767 0.1493 0.7500
Mo 0.8233 0.8507 0.2500
Mo 0.8507 0.0274 0.7500
Mo 0.9726 0.8233 0.7500
Se 0.0552 0.3494 0.7500
Se 0.2942 0.9448 0.7500
Se 0.3494 0.2942 0.2500
Se 0.6506 0.7058 0.7500
Se 0.7058 0.0552 0.2500
Se 0.9448 0.6506 0.2500
CELL_PARAMETERS angstrom
9.2430 0.0000 0.0000
-4.6215 8.0047 0.0000
0.0000 0.0000 4.4662
```

Values from the calculation:
Spin magnetization in μB per atom: 0.00
Total energy in eV per atom: -7.569
Volume in A^3/atom: 23.60

---

No. 12
Crystalline PtAu2 at its relaxed geometry. Source: Alexandria, functional GGA-PBEsol. Values from VASP.

Cell and atoms, written as Quantum ESPRESSO input:
```
&SYSTEM
  ibrav = 0, nat = 3, ntyp = 2
/
ATOMIC_SPECIES
Pt 195.08 Pt.upf
Au 196.97 Au.upf
ATOMIC_POSITIONS crystal
Pt 0.0000 0.0000 0.0000
Au 0.3348 0.3348 0.0000
Au 0.6652 0.6652 0.0000
CELL_PARAMETERS angstrom
-1.4136 2.0172 4.2687
1.4136 -2.0172 4.2687
1.4136 2.0172 -4.2687
```

Values from the calculation:
Formation enthalpy at 0 K in eV per atom: 0.0494
Spin magnetization in μB per atom: 0.00
Volume in A^3/atom: 16.23